No. 1
A relaxed structure of KY2H. Source: Alexandria, functional GGA-PBE.

Values from the calculation:
Its total energy is -3.265 eV per atom. As for the space-group type: Fm-3m. For the density, the calculation gives 3.069 Mg/m³.

Cell: 5.5041 5.5041 5.5041 Å, 60.00 60.00 60.00°
Last column: nearest neighbours and their distance in Å.
Atoms (fractional coordinates):
1 Y 0.2500 0.2500 0.2500  4 K 3.37, 4 H 3.37
2 Y 0.7500 0.7500 0.7500  4 K 3.37, 4 H 3.37
3 H 0.0000 0.0000 0.0000  8 Y 3.37
4 K 0.5000 0.5000 0.5000  8 Y 3.37

***

No. 2
A relaxed structure of K2YH4. Source: Alexandria, functional GGA-PBE.

Values from the calculation:
Its total energy is -3.415 eV per atom. As for the space-group type: I4/mmm. For the density, the calculation gives 2.137 Mg/m³.

Cell: 4.3023 4.3023 7.8014 Å, 73.99 73.99 90.00°
Last column: nearest neighbours and their distance in Å.
Atoms (fractional coordinates):
1 Y 0.0000 0.0000 0.0000  6 H 2.15-2.24
2 H 0.8443 0.8443 0.3114  1 Y 2.24
3 H 0.1557 0.1557 0.6886  1 Y 2.24
4 H 0.0000 0.5000 0.0000  2 Y 2.15
5 H 0.5000 0.0000 0.0000  2 Y 2.15
6 K 0.6555 0.6555 0.6890  1 H 2.71
7 K 0.3445 0.3445 0.3110  1 H 2.71

***

No. 3
A relaxed structure of KY3H. Source: Alexandria, functional GGA-PBE.

Values from the calculation:
Its total energy is -4.497 eV per atom. As for the space-group type: Pm-3m. For the density, the calculation gives 3.662 Mg/m³.

Cell: 5.1815 5.1815 5.1815 Å, 90.00 90.00 90.00°
Last column: nearest neighbours and their distance in Å.
Atoms (fractional coordinates):
1 Y 0.0000 0.5000 0.0000  2 H 2.59
2 Y 0.0000 0.0000 0.5000  2 H 2.59
3 Y 0.5000 0.0000 0.0000  2 H 2.59
4 H 0.0000 0.0000 0.0000  6 Y 2.59
5 K 0.5000 0.5000 0.5000  12 Y 3.66

***

No. 4
A relaxed structure of KY3H. Source: Alexandria, functional GGA-PBE.

Values from the calculation:
Its total energy is -2.961 eV per atom. As for the space-group type: Pm-3m. For the density, the calculation gives 2.890 Mg/m³.

Cell: 5.6070 5.6070 5.6070 Å, 90.00 90.00 90.00°
Last column: nearest neighbours and their distance in Å.
Atoms (fractional coordinates):
1 Y 0.0000 0.5000 0.0000  2 K 2.80
2 Y 0.0000 0.0000 0.5000  2 K 2.80
3 Y 0.5000 0.0000 0.0000  2 K 2.80
4 H 0.5000 0.5000 0.5000  12 Y 3.96
5 K 0.0000 0.0000 0.0000  6 Y 2.80

***

Repeat the first record exactly.
A relaxed structure of KY2H. Source: Alexandria, functional GGA-PBE.

Values from the calculation:
Its total energy is -3.265 eV per atom. As for the space-group type: Fm-3m. For the density, the calculation gives 3.069 Mg/m³.

Cell: 5.5041 5.5041 5.5041 Å, 60.00 60.00 60.00°
Last column: nearest neighbours and their distance in Å.
Atoms (fractional coordinates):
1 Y 0.2500 0.2500 0.2500  4 K 3.37, 4 H 3.37
2 Y 0.7500 0.7500 0.7500  4 K 3.37, 4 H 3.37
3 H 0.0000 0.0000 0.0000  8 Y 3.37
4 K 0.5000 0.5000 0.5000  8 Y 3.37